Record 1
This record from the Alexandria database describes a PBEsol-optimized structure of HoIn2Pd. The functional is meta-GGA SCAN.

Structure (extended XYZ):
```
40
Lattice="-6.862 5.512 2.031 -7.966 0.069 -7.013 -7.725 -4.363 5.824" Properties=species:S:1:pos:R:3 pbc="T T T"
In -7.497 0.615 -1.808
Ho -15.899 0.602 0.505
In -19.187 1.267 0.796
In -13.510 0.465 -1.632
In -12.699 0.323 5.193
Pd -9.995 0.862 5.357
In -13.748 2.096 2.670
Pd -8.929 3.558 1.396
Pd -10.158 3.867 -3.347
In -11.383 -1.292 -0.233
In -8.330 2.009 -4.466
Pd -5.034 0.642 2.629
Pd -5.112 2.068 -1.503
In -12.861 3.310 -3.460
Ho -7.747 1.954 3.722
In -10.855 3.414 -0.663
In -16.872 3.335 -0.693
In -6.373 2.366 0.936
Ho -10.577 0.980 -2.627
In -2.725 0.541 -1.632
Ho -10.472 -0.971 3.024
Pd -8.093 -0.735 -4.215
In -8.153 -1.269 5.030
Ho -5.284 0.472 -4.021
Pd -7.955 -3.272 3.132
Pd -8.633 -1.514 -0.361
Ho -5.150 -0.593 -0.108
Pd -12.064 1.242 0.654
In -16.800 2.003 3.166
In -13.805 3.137 -0.347
Ho -6.797 5.459 2.012
In -13.441 -0.796 2.022
In -9.308 1.013 0.524
Ho -7.844 3.744 -1.463
Ho -5.141 -2.170 3.630
In -2.662 -0.612 1.709
In -7.425 -0.718 2.052
Pd -13.982 -2.054 -0.447
Ho -3.181 2.555 0.942
In -10.787 2.152 2.990
```

Values from the calculation:
ρ: 9.99 g/cm³
E: -37.909 eV/atom
SG: I4mm
ΔH_f (0 K): -0.78 eV/atom
magnetization: 0.00 μB per cell

Record 2
This record from the Alexandria database describes a PBEsol-optimized structure of Ho2InPd2. The functional is meta-GGA SCAN.

Structure (extended XYZ):
```
10
Lattice="3.630 0.000 0.000 0.000 7.578 0.000 0.000 0.000 7.578" Properties=species:S:1:pos:R:3 pbc="T T T"
In 0.000 3.789 3.789
Ho 1.815 1.309 2.480
Ho 1.815 2.480 6.269
Pd 0.000 2.816 0.973
Pd 0.000 4.762 6.606
Pd 0.000 6.606 2.816
Ho 1.815 6.269 5.098
Ho 1.815 5.098 1.309
In 0.000 0.000 0.000
Pd 0.000 0.973 4.762
```

Values from the calculation:
ρ: 10.47 g/cm³
E: -40.373 eV/atom
SG: P4/mbm
ΔH_f (0 K): -0.99 eV/atom
magnetization: 0.00 μB per cell

Record 3
This record from the Alexandria database describes a PBEsol-optimized structure of PrHoIn2. The functional is meta-GGA SCAN.

Structure (extended XYZ):
```
4
Lattice="5.313 0.000 0.000 2.656 4.601 0.000 2.656 1.534 4.338" Properties=species:S:1:pos:R:3 pbc="T T T"
In 2.656 1.534 1.084
Ho 5.313 3.067 2.169
Pr 0.000 0.000 0.000
In 7.969 4.601 3.253
```

Values from the calculation:
ρ: 8.39 g/cm³
E: -40.390 eV/atom
SG: Fm-3m
ΔH_f (0 K): -0.62 eV/atom
magnetization: 0.00 μB per cell

Record 4
This record from the Alexandria database describes a PBEsol-optimized structure of Ho5In4Pt2. The functional is meta-GGA SCAN.

Structure (extended XYZ):
```
22
Lattice="-0.400 -1.677 3.136 -5.244 -4.927 -3.304 13.271 -11.230 -4.313" Properties=species:S:1:pos:R:3 pbc="T T T"
Ho 8.223 -9.356 -3.955
In 2.238 -6.882 -1.353
In 6.232 -8.251 -1.576
Ho 6.376 -12.476 -5.859
Pt -0.365 -5.632 -1.017
Ho 10.150 -12.179 -5.219
Pt 3.929 -13.447 -4.648
In 8.447 -14.807 -4.800
Ho -0.196 -6.801 -3.662
In -3.082 -7.062 -2.128
Pt 3.698 -4.388 0.167
In 10.709 -10.772 -2.353
In 5.389 -10.953 -3.128
In 1.395 -9.584 -2.905
In -0.820 -3.027 0.319
Ho -2.122 -3.979 -2.399
Ho 1.651 -3.682 -1.759
Ho 4.913 -5.249 -2.181
Ho 4.014 -8.079 -3.809
Pt 7.993 -12.203 -3.464
Ho 3.115 -10.908 -5.437
Ho 0.000 0.000 0.000
```

Values from the calculation:
ρ: 10.95 g/cm³
E: -48.188 eV/atom
SG: Pbam
ΔH_f (0 K): -1.02 eV/atom
magnetization: 0.00 μB per cell

Record 5
This record from the Alexandria database describes a PBEsol-optimized structure of Ho12InPt7. The functional is meta-GGA SCAN.

Structure (extended XYZ):
```
40
Lattice="-2.295 8.662 -5.885 -4.326 -9.228 -3.326 -4.051 -0.152 9.924" Properties=species:S:1:pos:R:3 pbc="T T T"
Ho -6.719 5.348 3.488
Ho -3.478 3.602 -3.711
Ho -7.629 0.139 1.379
Ho -4.359 6.060 -1.336
Pt -7.165 -0.726 -4.222
Pt -7.979 2.747 3.152
Ho -5.999 -2.419 -6.639
Pt -4.840 0.878 1.010
Ho -6.233 0.829 4.429
Pt -4.745 4.007 5.579
Ho -4.774 -1.610 2.517
Ho -3.893 -4.068 0.142
Ho -4.302 2.991 2.909
Ho -4.674 1.701 7.352
Ho -2.048 0.451 2.458
Pt -3.276 0.866 -2.928
Pt -5.833 -1.596 -0.298
Pt -5.857 -5.979 -0.652
Ho -3.953 -6.066 -2.775
Pt -5.928 -4.725 -4.866
Ho -6.314 -6.778 2.049
Pt -2.694 -3.465 -2.439
Pt -3.508 0.008 4.935
Ho -5.600 1.119 -5.519
Pt -2.094 -2.345 1.649
Pt -4.816 5.261 1.365
Ho -5.899 0.892 -1.805
Ho -7.451 -3.371 1.032
Ho -5.073 -1.837 6.232
Ho -8.624 -1.169 -1.745
Ho -3.043 -0.857 -0.666
Ho -6.370 -3.709 -2.196
In 0.000 0.000 0.000
Ho -4.439 -1.547 -3.717
Pt -6.283 -7.035 4.948
Ho -6.780 3.350 0.571
Ho -7.195 -4.320 4.424
Ho -3.222 2.653 -0.320
Pt -7.397 -1.584 3.641
In -4.189 -4.690 3.299
```

Values from the calculation:
ρ: 12.54 g/cm³
E: -56.883 eV/atom
SG: I4/mcm
ΔH_f (0 K): -1.25 eV/atom
magnetization: 0.00 μB per cell

Record 6
This record from the Alexandria database describes a PBEsol-optimized structure of HoIn5Rh. The functional is meta-GGA SCAN.

Structure (extended XYZ):
```
7
Lattice="-3.721 2.457 1.017 0.473 -1.110 4.412 4.199 5.928 1.041" Properties=species:S:1:pos:R:3 pbc="T T T"
Ho 0.000 0.000 0.000
In -0.604 3.002 0.820
In 3.180 3.600 2.935
In -1.624 0.674 2.714
In 1.082 5.383 1.238
In 1.493 1.219 2.517
Rh 2.100 2.964 0.520
```

Values from the calculation:
ρ: 9.11 g/cm³
E: -36.190 eV/atom
SG: P4/mmm
ΔH_f (0 K): -0.52 eV/atom
magnetization: 0.00 μB per cell